Record 1
Material: AsOs3Se
Method: DFT, GGA-PBEsol
State: optimized geometry

Cell: 4.5043 4.5043 4.5043 Å, 90.00 90.00 90.00°
Closest atoms and distances in Å follow each position.
Space group Pm-3m (No. 221)
Inequivalent atoms, fractional coordinates:
As: 0.0000 0.0000 0.0000  12 Os 3.18
Os: 0.0000 0.5000 0.5000  2 Se 2.25
Se: 0.5000 0.5000 0.5000  6 Os 2.25

* crystal system: cubic
* total magnetic moment: 0.0 μB/f.u.
* energy: -7.177 eV/atom

***

Record 2
Material: AsOsSe2
Method: DFT, GGA-PBEsol
State: optimized geometry

Cell: 3.0324 4.5796 4.7272 Å, 90.00 90.00 90.00°
Closest atoms and distances in Å follow each position.
Space group Pmmm (No. 47)
Inequivalent atoms, fractional coordinates:
As: 0.0000 0.0000 0.0000  4 Se 2.75, 4 Os 2.81, 2 As 3.03
Os: 0.5000 0.0000 0.5000  4 Se 2.75, 4 As 2.81, 2 Os 3.03
Se: 0.0000 0.5000 0.5000  4 Os 2.75, 6 Se 2.81-3.03
Se: 0.5000 0.5000 0.0000  4 As 2.75, 6 Se 2.81-3.03

* crystal system: orthorhombic
* total magnetic moment: 0.0 μB/f.u.
* energy: -5.492 eV/atom

***

Q: Which formula does entry 2 have?
A: AsOsSe2

***

Q: What is the formula in the second record?
A: AsOsSe2

***

Q: What is the formula in the second record?
A: AsOsSe2